Computed, not measured: CsBa15Sr4 after structural relaxation at the PBE level of DFT.

As for the uncorrected energy: -35.82 eV per cell. As for the density of states at the Fermi level: 1.4704 states/eV per atom. Its space-group type is P4/mmm.

a b c (Å): 7.036 7.036 25.344
angles (deg): 90.00 90.00 90.00
Element x y z (fractional)
Cs1 0.000 0.000 0.000
Ba1 0.000 0.500 0.112
Ba2 0.000 0.500 0.306
Ba3 0.000 0.500 0.500
Ba4 0.000 0.500 0.694
Ba5 0.000 0.500 0.888
Ba6 0.500 0.000 0.112
Ba7 0.500 0.000 0.306
Ba8 0.500 0.000 0.500
Ba9 0.500 0.000 0.694
Ba10 0.500 0.000 0.888
Ba11 0.500 0.500 0.000
Ba12 0.500 0.500 0.209
Ba13 0.500 0.500 0.403
Ba14 0.500 0.500 0.597
Ba15 0.500 0.500 0.791
Sr1 0.000 0.000 0.212
Sr2 0.000 0.000 0.403
Sr3 0.000 0.000 0.597
Sr4 0.000 0.000 0.788